! PrZnPt PBE-GGA optimized geometry; values from VASP
! Electronic total energy   -4.720 eV/atom
! DFT formation energy   -0.688 eV/atom
! M_tot   0.00 μB per formula unit
&SYSTEM
  ibrav = 0, nat = 12, ntyp = 3
/
ATOMIC_SPECIES
Pr 140.91 Pr.upf
Zn 65.41 Zn.upf
Pt 195.08 Pt.upf
ATOMIC_POSITIONS angstrom
Pr 0.000 0.000 0.000
Pr 0.000 3.342 3.342
Pr 3.342 0.000 3.342
Pr 3.342 3.342 0.000
Zn 0.000 0.000 3.342
Zn 0.000 3.342 0.000
Zn 3.342 0.000 0.000
Zn 3.342 3.342 3.342
Pt 1.671 1.671 5.014
Pt 1.671 5.014 1.671
Pt 5.014 1.671 1.671
Pt 5.014 5.014 5.014
CELL_PARAMETERS angstrom
6.685 0.000 0.000
0.000 6.685 0.000
0.000 0.000 6.685

***

! SrTbMgTl PBE-GGA optimized geometry; values from VASP
! Electronic total energy   -2.795 eV/atom
! DFT formation energy   -0.227 eV/atom
! M_tot   0.07 μB per formula unit
! Relative energy among the computed polymorphs   0 meV per atom
&SYSTEM
  ibrav = 0, nat = 4, ntyp = 4
/
ATOMIC_SPECIES
Sr 87.62 Sr.upf
Tb 158.93 Tb.upf
Mg 24.30 Mg.upf
Tl 204.38 Tl.upf
ATOMIC_POSITIONS angstrom
Sr 0.000 0.000 0.000
Tb 0.000 0.000 3.961
Mg 1.970 1.970 5.730
Tl 1.970 1.970 2.196
CELL_PARAMETERS angstrom
3.941 0.000 0.000
0.000 3.941 0.000
0.000 0.000 8.010